Entry from Alexandria via LeMat-Bulk: a relaxed structure of CaGaSbP2 (PBE-GGA).

Results
- symmetry = P4/mmm (123)
- DOS(E_F) (states/eV/cell) = 3.48
- ΔE_f (raw) (eV per atom) = 0.83

a b c (Å): 5.2145 5.7427 5.2145
angles (deg): 90.00 90.00 90.00
With the nearest neighbours (Å) after each atom.
Atoms (fractional coordinates):
Sb 0.0000 0.5000 0.0000  2 Ca 2.87
Ca 0.0000 0.0000 0.0000  4 P 2.61, 2 Sb 2.87
Ga 0.5000 0.5000 0.5000  4 Sb 3.69, 8 P 3.88
P 0.0000 0.0000 0.5000  2 Ca 2.61
P 0.5000 0.0000 0.0000  2 Ca 2.61